DFT (PBE) results for an optimized crystal structure of CeAlTlO4.

Cell: 5.854 5.876 7.740 Å, 90.00 108.94 90.00°
Element x y z (fractional)
Ce (0.214, 0.250, 0.046)
Ce (0.786, 0.750, 0.954)
Al (0.249, 0.750, 0.841)
Al (0.751, 0.250, 0.159)
Tl (0.339, 0.250, 0.592)
Tl (0.661, 0.750, 0.408)
O (0.047, 0.522, 0.836)
O (0.047, 0.978, 0.836)
O (0.448, 0.750, 0.711)
O (0.476, 0.750, 0.062)
O (0.524, 0.250, 0.938)
O (0.552, 0.250, 0.289)
O (0.953, 0.022, 0.164)
O (0.953, 0.478, 0.164)

Summary:
Symmetry: P2_1/m, No. 11
E_form (uncorrected) in eV/atom: -2.514
Density in Mg/m³: 5.74